A geometry-optimized Te2OsRuBr structure. Source: the Alexandria database, functional GGA-PBE.

## Properties
The calculation puts the total energy at -4.4729 eV/atom.

Structure (extended XYZ):
```
5
Lattice="5.239 0.000 0.000 0.000 5.239 0.000 0.000 0.000 4.840" Properties=species:S:1:pos:R:3 pbc="T T T"
Te 0.000 2.620 0.000
Te 2.620 0.000 0.000
Os 0.000 0.000 2.420
Ru 0.000 0.000 0.000
Br 2.620 2.620 2.420
```